# ScV2O2 (GGA+U, relaxed)
data_ScV2O2
_chemical_formula_sum 'Sc8 V16 O16'
_space_group_name_H-M_alt 'I 41/a m d'
_space_group_IT_number 141
_cell_length_a 8.043
_cell_length_b 8.043
_cell_length_c 9.419
_cell_angle_alpha 90.00
_cell_angle_beta 90.00
_cell_angle_gamma 90.00
loop_
_space_group_symop_operation_xyz
'x,y,z'
'-x,-y,-z'
'-y+1/4,x+3/4,z+1/4'
'y+1/4,-x+3/4,-z+1/4'
'-x+1/2,-y,z+1/2'
'x+1/2,y,-z+1/2'
'y+1/4,-x+1/4,z+3/4'
'-y+1/4,x+1/4,-z+3/4'
'x,-y,-z'
'-x,y,z'
'-y+1/4,-x+1/4,-z+3/4'
'y+1/4,x+1/4,z+3/4'
'-x+1/2,y,-z+1/2'
'x+1/2,-y,z+1/2'
'y+1/4,x+3/4,-z+1/4'
'-y+1/4,-x+3/4,z+1/4'
'x+1/2,y+1/2,z+1/2'
'-x+1/2,-y+1/2,-z+1/2'
'-y+3/4,x+1/4,z+3/4'
'y+3/4,-x+1/4,-z+3/4'
'-x,-y+1/2,z'
'x,y+1/2,-z'
'y+3/4,-x+3/4,z+1/4'
'-y+3/4,x+3/4,-z+1/4'
'x+1/2,-y+1/2,-z+1/2'
'-x+1/2,y+1/2,z+1/2'
'-y+3/4,-x+3/4,-z+1/4'
'y+3/4,x+3/4,z+1/4'
'-x,y+1/2,-z'
'x,-y+1/2,z'
'y+3/4,x+1/4,-z+3/4'
'-y+3/4,-x+1/4,z+3/4'
loop_
_atom_site_label
_atom_site_type_symbol
_atom_site_fract_x
_atom_site_fract_y
_atom_site_fract_z
Sc1 Sc 0.000 0.000 0.000
V1 V 0.000 0.039 0.366
O1 O 0.000 0.093 0.784
# - raw total energy (eV per formula unit) = -34.659